Material: NiP2IO
Method: DFT, PBE with a Hubbard U
State: relaxed

Geometry as POSCAR:
```
NiP2IO
1.0
5.1912 0.0000 0.0000
0.0000 5.1912 0.0000
0.0000 0.0000 3.8757
Ni P I O
1 2 1 1
Cartesian
0.0000 0.0000 0.0000 Ni
0.0000 2.5956 1.9378 P
2.5956 0.0000 1.9378 P
2.5956 2.5956 1.9378 I
2.5956 2.5956 0.0000 O
```

Results
Energy above the most stable polymorph in this dataset = 14.788 kcal/mol of atoms
Space group = No. 123